This record from Alexandria describes La2ZnNi at its PBEsol-relaxed geometry. The functional is SCAN.

a b c (Å): 3.310 3.310 8.335
angles (deg): 90.00 90.00 90.00
Space group P4mm (No. 99)
Asymmetric unit:
La1 0.000 0.000 0.000
La2 0.500 0.500 0.400
Zn1 0.000 0.000 0.648
Ni1 0.500 0.500 0.776

Energy ... -29.052 eV/atom
Total magnetization ... 0.00 μB per formula unit
Formation energy from the elements ... -0.08 eV per atom
DOS at the Fermi energy ... 4.127 states/eV/f.u.